Entry from Alexandria: KRuPb2 after structural relaxation (PBE).

Computed properties:
formation energy from the elements	0.725	eV/atom
space-group type	I-4m2

Geometry as CIF:
```
data_KRuPb2
_chemical_formula_sum 'K1 Ru1 Pb2'
_cell_length_a 5.933
_cell_length_b 5.933
_cell_length_c 5.933
_cell_angle_alpha 134.86
_cell_angle_beta 134.86
_cell_angle_gamma 65.75
_symmetry_space_group_name_H-M 'P 1'
_symmetry_Int_Tables_number 1
loop_
_symmetry_equiv_pos_as_xyz
'x,y,z'
loop_
_atom_site_label
_atom_site_type_symbol
_atom_site_fract_x
_atom_site_fract_y
_atom_site_fract_z
K1 K 0.000 0.000 0.000
Ru1 Ru 0.750 0.250 0.500
Pb1 Pb 0.250 0.750 0.500
Pb2 Pb 0.500 0.500 0.000
```



Entry from Alexandria: K12Cd3Hg5 after structural relaxation (PBE).

Computed properties:
formation energy from the elements	0.013	eV/atom
space-group type	Ia-3d

Geometry as CIF:
```
data_K12Cd3Hg5
_chemical_formula_sum 'K48 Cd12 Hg20'
_cell_length_a 17.938
_cell_length_b 17.938
_cell_length_c 17.938
_cell_angle_alpha 109.47
_cell_angle_beta 109.47
_cell_angle_gamma 109.47
_symmetry_space_group_name_H-M 'P 1'
_symmetry_Int_Tables_number 1
loop_
_symmetry_equiv_pos_as_xyz
'x,y,z'
loop_
_atom_site_label
_atom_site_type_symbol
_atom_site_fract_x
_atom_site_fract_y
_atom_site_fract_z
K1 K 0.053 0.225 0.128
K2 K 0.053 0.328 0.924
K3 K 0.076 0.628 0.404
K4 K 0.076 0.947 0.672
K5 K 0.096 0.725 0.672
K6 K 0.096 0.872 0.424
K7 K 0.128 0.053 0.225
K8 K 0.128 0.576 0.904
K9 K 0.172 0.225 0.596
K10 K 0.172 0.447 0.576
K11 K 0.225 0.128 0.053
K12 K 0.225 0.596 0.172
K13 K 0.275 0.328 0.904
K14 K 0.275 0.447 0.372
K15 K 0.328 0.904 0.275
K16 K 0.328 0.924 0.053
K17 K 0.372 0.275 0.447
K18 K 0.372 0.596 0.924
K19 K 0.404 0.076 0.628
K20 K 0.404 0.828 0.775
K21 K 0.424 0.096 0.872
K22 K 0.424 0.828 0.553
K23 K 0.447 0.372 0.275
K24 K 0.447 0.576 0.172
K25 K 0.553 0.424 0.828
K26 K 0.553 0.628 0.725
K27 K 0.576 0.172 0.447
K28 K 0.576 0.904 0.128
K29 K 0.596 0.172 0.225
K30 K 0.596 0.924 0.372
K31 K 0.628 0.404 0.076
K32 K 0.628 0.725 0.553
K33 K 0.672 0.076 0.947
K34 K 0.672 0.096 0.725
K35 K 0.725 0.553 0.628
K36 K 0.725 0.672 0.096
K37 K 0.775 0.404 0.828
K38 K 0.775 0.872 0.947
K39 K 0.828 0.553 0.424
K40 K 0.828 0.775 0.404
K41 K 0.872 0.424 0.096
K42 K 0.872 0.947 0.775
K43 K 0.904 0.128 0.576
K44 K 0.904 0.275 0.328
K45 K 0.924 0.053 0.328
K46 K 0.924 0.372 0.596
K47 K 0.947 0.672 0.076
K48 K 0.947 0.775 0.872
Cd1 Cd 0.125 0.250 0.375
Cd2 Cd 0.125 0.375 0.750
Cd3 Cd 0.250 0.375 0.125
Cd4 Cd 0.250 0.875 0.625
Cd5 Cd 0.375 0.125 0.250
Cd6 Cd 0.375 0.750 0.125
Cd7 Cd 0.625 0.250 0.875
Cd8 Cd 0.625 0.875 0.750
Cd9 Cd 0.750 0.125 0.375
Cd10 Cd 0.750 0.625 0.875
Cd11 Cd 0.875 0.625 0.250
Cd12 Cd 0.875 0.750 0.625
Hg1 Hg 0.000 0.000 0.000
Hg2 Hg 0.000 0.000 0.500
Hg3 Hg 0.000 0.500 0.000
Hg4 Hg 0.000 0.500 0.500
Hg5 Hg 0.125 0.750 0.875
Hg6 Hg 0.125 0.875 0.250
Hg7 Hg 0.250 0.125 0.875
Hg8 Hg 0.250 0.625 0.375
Hg9 Hg 0.375 0.250 0.625
Hg10 Hg 0.375 0.625 0.750
Hg11 Hg 0.500 0.000 0.000
Hg12 Hg 0.500 0.000 0.500
Hg13 Hg 0.500 0.500 0.000
Hg14 Hg 0.500 0.500 0.500
Hg15 Hg 0.625 0.375 0.250
Hg16 Hg 0.625 0.750 0.375
Hg17 Hg 0.750 0.375 0.625
Hg18 Hg 0.750 0.875 0.125
Hg19 Hg 0.875 0.125 0.750
Hg20 Hg 0.875 0.250 0.125
```



Entry from Alexandria: BeZn3H after structural relaxation (PBE).

Computed properties:
relative energy among the computed polymorphs	0.000	eV per formula unit
space-group type	Pm-3m

Geometry as CIF:
```
data_BeZn3H
_chemical_formula_sum 'Be1 Zn3 H1'
_cell_length_a 3.906
_cell_length_b 3.906
_cell_length_c 3.906
_cell_angle_alpha 90.00
_cell_angle_beta 90.00
_cell_angle_gamma 90.00
_symmetry_space_group_name_H-M 'P 1'
_symmetry_Int_Tables_number 1
loop_
_symmetry_equiv_pos_as_xyz
'x,y,z'
loop_
_atom_site_label
_atom_site_type_symbol
_atom_site_fract_x
_atom_site_fract_y
_atom_site_fract_z
Be1 Be 0.000 0.000 0.000
Zn1 Zn 0.000 0.500 0.500
Zn2 Zn 0.500 0.000 0.500
Zn3 Zn 0.500 0.500 0.000
H1 H 0.500 0.500 0.500
```



Entry from Alexandria: Rb3TbHo2Se6 after structural relaxation (PBE).

Computed properties:
E_form (uncorrected)	-1.7379	eV/atom
space-group type	C2/m

Geometry as CIF:
```
data_Rb3TbHo2Se6
_chemical_formula_sum 'Rb3 Tb1 Ho2 Se6'
_cell_length_a 7.337
_cell_length_b 7.337
_cell_length_c 8.359
_cell_angle_alpha 98.42
_cell_angle_beta 98.42
_cell_angle_gamma 120.00
_symmetry_space_group_name_H-M 'P 1'
_symmetry_Int_Tables_number 1
loop_
_symmetry_equiv_pos_as_xyz
'x,y,z'
loop_
_atom_site_label
_atom_site_type_symbol
_atom_site_fract_x
_atom_site_fract_y
_atom_site_fract_z
Rb1 Rb 0.000 0.000 0.000
Rb2 Rb 0.334 0.666 0.000
Rb3 Rb 0.666 0.334 0.000
Tb1 Tb 0.500 0.500 0.500
Ho1 Ho 0.167 0.833 0.500
Ho2 Ho 0.833 0.167 0.500
Se1 Se 0.100 0.435 0.305
Se2 Se 0.230 0.230 0.695
Se3 Se 0.435 0.100 0.305
Se4 Se 0.565 0.900 0.695
Se5 Se 0.770 0.770 0.305
Se6 Se 0.900 0.565 0.695
```



Entry from Alexandria: Pm2GaAg2 after structural relaxation (PBE).

Computed properties:
relative energy among the computed polymorphs	0.000	eV per formula unit
formation energy from the elements	-0.348	eV/atom
space-group type	C2/m

Geometry as CIF:
```
data_Pm2GaAg2
_chemical_formula_sum 'Pm4 Ga2 Ag4'
_cell_length_a 5.854
_cell_length_b 5.854
_cell_length_c 11.154
_cell_angle_alpha 113.24
_cell_angle_beta 113.24
_cell_angle_gamma 45.15
_symmetry_space_group_name_H-M 'P 1'
_symmetry_Int_Tables_number 1
loop_
_symmetry_equiv_pos_as_xyz
'x,y,z'
loop_
_atom_site_label
_atom_site_type_symbol
_atom_site_fract_x
_atom_site_fract_y
_atom_site_fract_z
Pm1 Pm 0.020 0.020 0.343
Pm2 Pm 0.194 0.194 0.114
Pm3 Pm 0.806 0.806 0.886
Pm4 Pm 0.980 0.980 0.657
Ga1 Ga 0.275 0.275 0.665
Ga2 Ga 0.725 0.725 0.335
Ag1 Ag 0.353 0.353 0.440
Ag2 Ag 0.480 0.480 0.116
Ag3 Ag 0.520 0.520 0.884
Ag4 Ag 0.647 0.647 0.560
```



Entry from Alexandria: La6PmCd5 after structural relaxation (PBE).

Computed properties:
formation energy from the elements	-0.238	eV/atom
space-group type	P2/m

Geometry as CIF:
```
data_La6PmCd5
_chemical_formula_sum 'La6 Pm1 Cd5'
_cell_length_a 5.608
_cell_length_b 7.830
_cell_length_c 8.969
_cell_angle_alpha 90.00
_cell_angle_beta 108.16
_cell_angle_gamma 90.00
_symmetry_space_group_name_H-M 'P 1'
_symmetry_Int_Tables_number 1
loop_
_symmetry_equiv_pos_as_xyz
'x,y,z'
loop_
_atom_site_label
_atom_site_type_symbol
_atom_site_fract_x
_atom_site_fract_y
_atom_site_fract_z
La1 La 0.000 0.232 0.000
La2 La 0.000 0.768 0.000
La3 La 0.328 0.249 0.655
La4 La 0.328 0.751 0.655
La5 La 0.672 0.249 0.345
La6 La 0.672 0.751 0.345
Pm1 Pm 0.500 0.500 0.000
Cd1 Cd 0.155 0.500 0.312
Cd2 Cd 0.165 0.000 0.333
Cd3 Cd 0.500 0.000 0.000
Cd4 Cd 0.835 0.000 0.667
Cd5 Cd 0.845 0.500 0.688
```



Number 1: VASP energy -3.7227 eV/atom. Number 2: VASP energy -0.8587 eV/atom. Number 3: VASP energy -1.7206 eV/atom. Number 4: VASP energy -4.8708 eV/atom. Number 5: VASP energy -3.9939 eV/atom. Number 6: VASP energy -3.4793 eV/atom.